Entry 1:
A relaxed structure of CrCuNi3, computed with GGA-PBE.

```
CrCuNi3
1.0
4.082 -0.691 -1.300
-0.677 4.273 0.216
-0.133 0.347 6.634
Ni Cu Cr
6 2 2
direct
0.065 0.844 0.411
0.762 0.345 0.806
0.463 0.844 0.208
0.961 0.344 0.204
0.563 0.345 0.406
0.263 0.844 0.808
0.864 0.844 0.009
0.162 0.344 0.606
0.659 0.844 0.599
0.367 0.344 0.016
```

Computed properties:
- Uncorrected energy: -6.1594 eV per atom
- Energy relative to the elements: 0.3 eV/f.u.
- Space group: C2/c, No. 15
- Volume: 11.2 Å³/atom
- Energy above the most stable polymorph in this dataset: 0 meV per atom

Entry 2:
A relaxed structure of AcPm7Y4, computed with GGA-PBE.

```
AcPm7Y4
1.0
-2.186 4.882 -5.062
-2.127 0.312 -9.512
-8.408 -3.428 0.341
Pm Y Ac
7 4 1
direct
0.972 0.281 0.663
0.244 0.501 0.000
0.028 0.719 0.337
0.224 0.775 0.662
0.756 0.499 0.000
0.500 0.000 0.000
0.776 0.225 0.338
0.718 0.782 0.665
0.537 0.720 0.336
0.463 0.280 0.664
0.282 0.218 0.335
0.000 0.000 0.000
```

Computed properties:
- Uncorrected energy: -5.2605 eV per atom
- Energy relative to the elements: 0.1 eV/f.u.
- Space group: P-1, No. 2
- Volume: 34.6 Å³/atom
- Energy above the most stable polymorph in this dataset: 0 meV per atom

Entry 3:
A relaxed structure of Ba3In6SnPb2, computed with GGA-PBE.

```
Ba3In6SnPb2
1.0
-2.566 -5.248 2.386
0.911 0.519 -6.222
10.818 -4.750 1.188
Pb Sn In Ba
2 1 6 3
direct
0.667 0.333 0.962
0.333 0.667 0.038
0.000 0.000 0.500
0.337 0.169 0.728
0.663 0.831 0.272
0.831 0.169 0.728
0.169 0.831 0.272
0.831 0.663 0.728
0.169 0.337 0.272
0.667 0.333 0.436
0.000 0.000 0.000
0.333 0.667 0.564
```

Computed properties:
- Uncorrected energy: -3.0459 eV per atom
- Energy relative to the elements: -2.9 eV/f.u.
- Space group: P-3m1, No. 164
- Volume: 34.1 Å³/atom